A PBEsol-optimized structure of Ta2Be2Zn, computed with SCAN.

The structure belongs to space group P4/mbm (No. 127); the cell edges are 5.986, 5.986 and 3.561 Å and the angles 90.00°, 90.00° and 90.00°. The inequivalent atoms are Ta at (0.174, 0.326, 0.000), Be at (0.121, 0.621, 0.500) and Zn at (0.000, 0.000, 0.500).

The calculation puts the energy of formation at -0.60 eV/f.u. The crystal system is tetragonal. The value obtained for the density of states at the Fermi level is 0.540 states/eV per atom. The total moment comes out at 0.0 μB per formula unit.